# GGA-PBE BaMgCoBi, relaxed
# Crystal system: cubic
# Total magnetic moment: 7.48 Bohr magnetons per cell
# Energy relative to the lowest polymorph listed for this composition: 0 meV per atom
# Theoretical density: 6.40 g/cm³
# E: -3.4198 eV per atom
data_BaMgCoBi
_chemical_formula_sum 'Ba4 Mg4 Co4 Bi4'
_symmetry_space_group_name_H-M 'F -4 3 m'
_symmetry_Int_Tables_number 216
_symmetry_space_group_name_Hall 'F -4 2 3'
_cell_length_a 7.6411
_cell_length_b 7.6411
_cell_length_c 7.6411
_cell_angle_alpha 90.00
_cell_angle_beta 90.00
_cell_angle_gamma 90.00
loop_
_atom_site_label
_atom_site_type_symbol
_atom_site_fract_x
_atom_site_fract_y
_atom_site_fract_z
_atom_site_occupancy
Ba1 Ba 0.0000 0.0000 0.0000 1
Mg1 Mg 0.0000 0.0000 0.5000 1
Co1 Co 0.2500 0.2500 0.2500 1
Bi1 Bi 0.2500 0.2500 0.7500 1